Density functional theory data (PBE with a Hubbard U) for a geometry-optimized CaMg14MnO16 structure.

Lattice parameters (Å, degrees): 4.337 8.627 8.641 90.00 90.00 90.00
Space group Pmmm (No. 47)
Symmetry-distinct sites (fractional):
Ca 0.000 0.000 0.000 x1
Mg 0.000 0.255 0.252 x4
Mg 0.000 0.500 0.000 x1
Mg 0.000 0.500 0.500 x1
Mg 0.500 0.000 0.254 x2
Mg 0.500 0.253 0.500 x2
Mg 0.500 0.256 0.000 x2
Mg 0.500 0.500 0.251 x2
Mn 0.000 0.000 0.500 x1
O 0.000 0.000 0.257 x2
O 0.000 0.260 0.500 x2
O 0.000 0.264 0.000 x2
O 0.000 0.500 0.251 x2
O 0.500 0.000 0.000 x1
O 0.500 0.000 0.500 x1
O 0.500 0.250 0.250 x4
O 0.500 0.500 0.000 x1
O 0.500 0.500 0.500 x1

Values from the calculation:
ΔE to the lowest computed polymorph, meV per atom: 3
Total DFT energy (no corrections), eV per atom: -6.0881